[1]
Crystalline CeDy3HoEr at its relaxed geometry, computed with PBE.

Computed properties:
* space group: Cmcm, No. 63
* crystal system: orthorhombic
* energy relative to the elements: 0.158 eV per atom
* total energy: -4.66 eV per atom

Geometry as POSCAR:
```
CeDy3HoEr
1.0
5.599 0.000 0.000
-2.799 5.958 0.000
0.000 0.000 11.301
Dy Ho Ce Er
6 2 2 2
direct
0.673 0.345 0.471 Dy
0.673 0.345 0.029 Dy
0.142 0.285 0.750 Dy
0.858 0.715 0.250 Dy
0.327 0.655 0.971 Dy
0.327 0.655 0.529 Dy
0.000 0.000 0.500 Ho
0.000 0.000 0.000 Ho
0.529 0.057 0.750 Ce
0.471 0.943 0.250 Ce
0.829 0.658 0.750 Er
0.171 0.342 0.250 Er
```

---

[2]
Crystalline LiMoW at its relaxed geometry, computed with PBE.

Computed properties:
* space group: Fmm2, No. 42
* crystal system: orthorhombic
* energy relative to the elements: 0.346 eV per atom
* energy above the most stable polymorph in this dataset: 0.23 kcal/mol of atoms
* total energy: -8.22 eV per atom

Geometry as POSCAR:
```
LiMoW
1.0
7.366 -0.028 0.021
6.727 2.577 0.016
0.639 -0.748 2.496
Li W Mo
1 1 1
direct
0.000 0.000 0.000 Li
0.670 0.670 0.330 W
0.330 0.330 0.670 Mo
```

---

[3]
Crystalline Sn2HgTe2 at its relaxed geometry, computed with PBE.

Computed properties:
* space group: C2/m, No. 12
* crystal system: monoclinic
* energy relative to the elements, uncorrected: -3.8 kcal/mol of atoms
* energy above the most stable polymorph in this dataset: 0.00 kcal/mol of atoms
* total energy: -3.08 eV per atom

Geometry as POSCAR:
```
Sn2HgTe2
1.0
-0.620 1.652 3.963
-4.589 -5.718 1.666
10.969 -3.616 0.848
Hg Te Sn
2 4 4
direct
0.250 0.750 0.500 Hg
0.750 0.250 0.500 Hg
0.423 0.257 0.846 Te
0.577 0.743 0.154 Te
0.923 0.758 0.846 Te
0.077 0.242 0.154 Te
0.152 0.984 0.304 Sn
0.652 0.484 0.304 Sn
0.848 0.016 0.696 Sn
0.348 0.516 0.696 Sn
```

---

[4]
Crystalline TbDyErIn at its relaxed geometry, computed with PBE.

Computed properties:
* space group: F-43m, No. 216
* crystal system: cubic
* energy relative to the elements: -0.133 eV per atom
* energy above the most stable polymorph in this dataset: 3.05 kcal/mol of atoms
* total energy: -4.27 eV per atom

Geometry as POSCAR:
```
TbDyErIn
1.0
5.439 0.000 0.000
2.720 4.711 0.000
2.720 1.570 4.441
Dy In Tb Er
1 1 1 1
direct
0.500 0.500 0.500 Dy
0.750 0.750 0.750 In
0.000 0.000 0.000 Tb
0.250 0.250 0.250 Er
```

---

[5]
Crystalline KFe2Cu at its relaxed geometry, computed with PBE.

Computed properties:
* space group: P4/mmm, No. 123
* crystal system: tetragonal
* energy relative to the elements: 1.224 eV per atom
* energy above the most stable polymorph in this dataset: 14.51 kcal/mol of atoms
* total energy: -4.31 eV per atom

Geometry as POSCAR:
```
KFe2Cu
1.0
-3.413 0.477 -3.197
2.504 -0.879 -2.804
-0.882 -3.739 0.384
Fe K Cu
2 1 1
direct
0.000 0.000 0.000 Fe
0.000 0.500 0.500 Fe
0.500 0.500 0.000 K
0.500 0.000 0.500 Cu
```

---

[6]
Crystalline TiMnBe5 at its relaxed geometry, computed with PBE.

Computed properties:
* space group: Pnma, No. 62
* crystal system: orthorhombic
* energy relative to the elements: -0.196 eV per atom
* total energy: -5.29 eV per atom

Geometry as POSCAR:
```
TiMnBe5
1.0
-0.955 0.728 -4.162
-6.784 0.203 1.592
0.592 8.801 1.404
Be Ti Mn
20 4 4
direct
0.250 0.595 0.017 Be
0.250 0.941 0.111 Be
0.250 0.682 0.251 Be
0.007 0.072 0.684 Be
0.250 0.095 0.483 Be
0.993 0.928 0.316 Be
0.993 0.428 0.184 Be
0.507 0.428 0.184 Be
0.493 0.072 0.684 Be
0.750 0.818 0.751 Be
0.007 0.572 0.816 Be
0.250 0.441 0.389 Be
0.493 0.572 0.816 Be
0.750 0.905 0.517 Be
0.750 0.559 0.611 Be
0.750 0.059 0.889 Be
0.750 0.405 0.983 Be
0.250 0.182 0.249 Be
0.507 0.928 0.316 Be
0.750 0.318 0.749 Be
0.750 0.759 0.067 Ti
0.250 0.741 0.567 Ti
0.250 0.241 0.933 Ti
0.750 0.259 0.433 Ti
0.750 0.623 0.366 Mn
0.750 0.123 0.134 Mn
0.250 0.877 0.866 Mn
0.250 0.377 0.634 Mn
```

---

[7]
Crystalline Nb4Ge at its relaxed geometry, computed with PBE.

Computed properties:
* space group: I4_1/amd, No. 141
* crystal system: tetragonal
* energy relative to the elements: 0.197 eV per atom
* energy above the most stable polymorph in this dataset: 0.00 kcal/mol of atoms
* total energy: -8.78 eV per atom

Geometry as POSCAR:
```
Nb4Ge
1.0
6.380 -0.390 0.000
-2.912 5.690 0.000
-1.734 -2.650 5.552
Nb Ge
8 2
direct
0.665 0.855 0.810 Nb
0.605 0.915 0.310 Nb
0.605 0.294 0.690 Nb
0.145 0.335 0.190 Nb
0.085 0.395 0.690 Nb
0.706 0.395 0.310 Nb
0.145 0.956 0.810 Nb
0.044 0.855 0.190 Nb
0.250 0.750 0.500 Ge
0.500 0.500 0.000 Ge
```

---

[8]
Crystalline LiDyEr2 at its relaxed geometry, computed with PBE.

Computed properties:
* space group: Fm-3m, No. 225
* crystal system: cubic
* energy relative to the elements: 0.185 eV per atom
* energy above the most stable polymorph in this dataset: 2.62 kcal/mol of atoms
* total energy: -3.73 eV per atom

Geometry as POSCAR:
```
LiDyEr2
1.0
5.433 0.000 0.000
2.716 4.705 0.000
2.716 1.568 4.436
Er Dy Li
2 1 1
direct
0.250 0.250 0.250 Er
0.750 0.750 0.750 Er
0.000 0.000 0.000 Dy
0.500 0.500 0.500 Li
```

---

[9]
Crystalline TmZr4Ge4 at its relaxed geometry, computed with PBE.

Computed properties:
* space group: P4_2/n, No. 86
* crystal system: tetragonal
* energy relative to the elements: -0.519 eV per atom
* total energy: -6.87 eV per atom

Geometry as POSCAR:
```
TmZr4Ge4
1.0
-2.661 -4.121 2.268
5.617 0.119 6.807
-5.241 5.709 4.225
Zr Ge Tm
8 8 2
direct
0.610 0.110 0.352 Zr
0.390 0.352 0.890 Zr
0.890 0.390 0.148 Zr
0.110 0.852 0.390 Zr
0.110 0.148 0.610 Zr
0.390 0.648 0.110 Zr
0.890 0.610 0.852 Zr
0.610 0.890 0.648 Zr
0.600 0.208 0.640 Ge
0.100 0.140 0.292 Ge
0.900 0.292 0.860 Ge
0.400 0.640 0.792 Ge
0.900 0.708 0.140 Ge
0.100 0.860 0.708 Ge
0.600 0.792 0.360 Ge
0.400 0.360 0.208 Ge
0.500 0.500 0.500 Tm
0.000 0.000 0.000 Tm
```

---

[10]
Crystalline Pm4HoGa2 at its relaxed geometry, computed with PBE.

Computed properties:
* space group: R-3m, No. 166
* crystal system: trigonal
* energy relative to the elements: -0.091 eV per atom
* total energy: -4.32 eV per atom

Geometry as POSCAR:
```
Pm4HoGa2
1.0
5.041 0.000 0.000
2.521 4.366 0.000
2.521 1.455 10.090
Ga Pm Ho
2 4 1
direct
0.598 0.598 0.205 Ga
0.402 0.402 0.795 Ga
0.896 0.896 0.312 Pm
0.104 0.104 0.688 Pm
0.298 0.298 0.106 Pm
0.702 0.702 0.894 Pm
0.500 0.500 0.500 Ho
```

---

[11]
Crystalline Cu2BiIr at its relaxed geometry, computed with PBE.

Computed properties:
* space group: I-42d, No. 122
* crystal system: tetragonal
* energy relative to the elements: 0.540 eV per atom
* total energy: -4.69 eV per atom

Geometry as POSCAR:
```
Cu2BiIr
1.0
-6.599 1.353 -2.970
0.310 -6.410 -3.609
-4.308 -3.732 -1.252
Cu Bi Ir
4 2 2
direct
0.375 0.400 0.750 Cu
0.600 0.125 0.250 Cu
0.150 0.625 0.250 Cu
0.875 0.850 0.750 Cu
0.000 0.000 0.000 Bi
0.750 0.250 0.500 Bi
0.250 0.750 0.500 Ir
0.500 0.500 0.000 Ir
```

---

[12]
Crystalline InRh4 at its relaxed geometry, computed with PBE.

Computed properties:
* space group: Pm-3m, No. 221
* crystal system: cubic
* energy relative to the elements: 1.691 eV per atom
* energy above the most stable polymorph in this dataset: 35.30 kcal/mol of atoms
* total energy: -4.74 eV per atom

Geometry as POSCAR:
```
InRh4
1.0
-3.133 2.046 -3.009
1.074 -3.274 -3.344
-3.477 -2.855 1.679
Rh In
4 1
direct
0.500 0.000 0.500 Rh
0.000 0.000 0.000 Rh
0.500 0.500 0.000 Rh
0.000 0.500 0.500 Rh
0.500 0.500 0.500 In
```

---

[13]
Crystalline CaCd2Rh2 at its relaxed geometry, computed with PBE.

Computed properties:
* space group: P4/mbm, No. 127
* crystal system: tetragonal
* energy relative to the elements: -0.235 eV per atom
* energy above the most stable polymorph in this dataset: 0.00 kcal/mol of atoms
* total energy: -3.94 eV per atom

Geometry as POSCAR:
```
CaCd2Rh2
1.0
-7.554 0.998 0.583
-0.390 -5.833 4.921
0.475 2.113 2.543
Rh Cd Ca
4 4 2
direct
0.366 0.866 0.000 Rh
0.866 0.634 0.000 Rh
0.134 0.366 0.000 Rh
0.634 0.134 0.000 Rh
0.660 0.840 0.500 Cd
0.340 0.160 0.500 Cd
0.160 0.660 0.500 Cd
0.840 0.340 0.500 Cd
0.000 0.000 0.000 Ca
0.500 0.500 0.000 Ca
```

---

[14]
Crystalline TbDy9Tm2 at its relaxed geometry, computed with PBE.

Computed properties:
* space group: P4/mmm, No. 123
* crystal system: tetragonal
* energy relative to the elements: 0.021 eV per atom
* energy above the most stable polymorph in this dataset: 0.00 kcal/mol of atoms
* total energy: -4.56 eV per atom

Geometry as POSCAR:
```
TbDy9Tm2
1.0
4.989 0.000 0.000
0.000 4.989 0.000
0.000 0.000 14.971
Dy Tb Tm
9 1 2
direct
0.500 0.000 0.168 Dy
0.500 0.500 0.666 Dy
0.000 0.500 0.168 Dy
0.500 0.500 0.334 Dy
0.000 0.500 0.832 Dy
0.000 0.500 0.500 Dy
0.500 0.000 0.832 Dy
0.500 0.000 0.500 Dy
0.500 0.500 0.000 Dy
0.000 0.000 0.000 Tb
0.000 0.000 0.666 Tm
0.000 0.000 0.334 Tm
```

---

[15]
Crystalline LiH2BrO at its relaxed geometry, computed with PBE.

Computed properties:
* space group: Cmcm, No. 63
* crystal system: orthorhombic
* total energy: -4.32 eV per atom

Geometry as POSCAR:
```
LiH2BrO
1.0
-0.946 4.257 3.727
-0.997 -3.902 4.085
7.723 0.036 1.919
Br H O Li
4 8 4 4
direct
0.211 0.724 0.250 Br
0.724 0.211 0.250 Br
0.276 0.789 0.750 Br
0.789 0.276 0.750 Br
0.402 0.212 0.064 H
0.788 0.598 0.936 H
0.788 0.598 0.564 H
0.598 0.788 0.936 H
0.212 0.402 0.436 H
0.598 0.788 0.564 H
0.402 0.212 0.436 H
0.212 0.402 0.064 H
0.741 0.741 0.504 O
0.259 0.259 0.496 O
0.741 0.741 0.996 O
0.259 0.259 0.004 O
0.309 0.309 0.750 Li
0.000 0.000 0.000 Li
0.691 0.691 0.250 Li
0.000 0.000 0.500 Li
```

---

[16]
Crystalline AsWIBr2 at its relaxed geometry, computed with PBE.

Computed properties:
* space group: P4/mmm, No. 123
* crystal system: tetragonal
* energy relative to the elements, uncorrected: 8.6 kcal/mol of atoms
* energy above the most stable polymorph in this dataset: 0.00 kcal/mol of atoms
* total energy: -4.13 eV per atom

Geometry as POSCAR:
```
AsWIBr2
1.0
5.046 0.000 0.000
0.000 5.046 0.000
0.000 0.000 5.110
I As Br W
1 1 2 1
direct
0.500 0.500 0.500 I
0.000 0.000 0.500 As
0.000 0.500 0.000 Br
0.500 0.000 0.000 Br
0.000 0.000 0.000 W
```

---

[17]
Crystalline GaCuOs3 at its relaxed geometry, computed with PBE.

Computed properties:
* space group: Pm-3m, No. 221
* crystal system: cubic
* energy relative to the elements: 2.136 eV per atom
* energy above the most stable polymorph in this dataset: 2.40 kcal/mol of atoms
* total energy: -6.03 eV per atom

Geometry as POSCAR:
```
GaCuOs3
1.0
-3.538 -0.321 -2.768
2.382 -2.670 -2.735
-1.446 -3.613 2.267
Cu Os Ga
1 3 1
direct
0.500 0.500 0.500 Cu
0.000 0.500 0.000 Os
0.000 0.000 0.500 Os
0.500 0.000 0.000 Os
0.000 0.000 0.000 Ga
```

---

[18]
Crystalline YHo3Tm3 at its relaxed geometry, computed with PBE.

Computed properties:
* space group: R-3, No. 148
* crystal system: trigonal
* energy relative to the elements: 0.147 eV per atom
* energy above the most stable polymorph in this dataset: 3.31 kcal/mol of atoms
* total energy: -4.66 eV per atom

Geometry as POSCAR:
```
YHo3Tm3
1.0
5.809 0.000 1.867
2.605 5.192 1.867
-1.422 -0.877 14.395
Ho Tm Y
6 6 2
direct
0.536 0.199 0.398 Ho
0.801 0.133 0.602 Ho
0.867 0.536 0.398 Ho
0.464 0.801 0.602 Ho
0.133 0.464 0.602 Ho
0.199 0.867 0.398 Ho
0.733 0.401 0.799 Tm
0.933 0.267 0.201 Tm
0.267 0.599 0.201 Tm
0.067 0.733 0.799 Tm
0.599 0.933 0.201 Tm
0.401 0.067 0.799 Tm
0.667 0.667 0.000 Y
0.333 0.333 0.000 Y
```

---

[19]
Crystalline La3Pm2Ru2 at its relaxed geometry, computed with PBE.

Computed properties:
* space group: C2/m, No. 12
* crystal system: monoclinic
* energy relative to the elements: -0.227 eV per atom
* total energy: -6.35 eV per atom

Geometry as POSCAR:
```
La3Pm2Ru2
1.0
-0.478 -1.597 3.611
4.331 -3.660 -3.236
3.637 7.414 3.760
La Pm Ru
3 2 2
direct
0.383 0.765 0.577 La
0.500 0.000 0.000 La
0.617 0.235 0.423 La
0.174 0.347 0.813 Pm
0.826 0.653 0.187 Pm
0.820 0.641 0.760 Ru
0.180 0.359 0.240 Ru
```

---

[20]
Crystalline LaPrHo2S4 at its relaxed geometry, computed with PBE.

Computed properties:
* space group: P2/m, No. 10
* crystal system: monoclinic
* energy relative to the elements, uncorrected: -47.1 kcal/mol of atoms
* total energy: -6.46 eV per atom

Geometry as POSCAR:
```
LaPrHo2S4
1.0
3.940 0.000 0.000
0.000 7.102 -0.236
0.000 2.406 6.427
S La Ho Pr
4 1 2 1
direct
0.500 0.772 0.243 S
0.000 0.773 0.742 S
0.500 0.228 0.757 S
0.000 0.227 0.258 S
0.500 0.500 0.000 La
0.500 0.000 0.500 Ho
0.000 0.000 0.000 Ho
0.000 0.500 0.500 Pr
```